[1]
# Dy10Ti6O27

Dy10Ti6O27 after structural relaxation (PBE, the Alexandria database).

a = 12.9762 Å, b = 7.2774 Å, c = 12.5476 Å
α = 90.00°, β = 110.71°, γ = 90.00°
Closest atoms and distances in Å follow each position.
Space group Cm (No. 8)
One atom of each set of equivalent atoms:
Dy 0.0000 0.0000 0.0000  6 O 2.25-2.36
Dy 0.0027 0.0000 0.5053  7 O 2.21-2.46
Dy 0.0167 0.2455 0.2565  5 O 2.23-2.40
Dy 0.0367 0.5000 0.9931  4 O 2.13-2.34
Dy 0.2629 0.0000 0.2764  7 O 2.19-2.40
Dy 0.2696 0.0000 0.7692  5 O 2.21-2.35
Dy 0.2738 0.5000 0.2349  6 O 2.14-2.37
Dy 0.4937 0.2544 0.7342  5 O 2.22-2.35
Ti 0.0178 0.5000 0.5092  4 O 1.91-2.01
Ti 0.2557 0.2556 0.4957  4 O 1.85-1.97
Ti 0.2594 0.2368 0.0053  5 O 1.87-2.04
Ti 0.2716 0.5000 0.7586  4 O 1.85-1.96
O 0.0840 0.0000 0.1903  4 Dy 2.19-2.27
O 0.0874 0.0000 0.6924  4 Dy 2.21-2.32
O 0.1063 0.2126 0.9444  1 Ti 1.87
O 0.1082 0.2645 0.4777  1 Ti 1.85
O 0.1144 0.5000 0.6750  2 Ti 1.94-2.01
O 0.2033 0.2910 0.3195  1 Ti 2.09, 2 Dy 2.23-2.29
O 0.2284 0.5000 0.0420  2 Ti 2.04, 1 Dy 2.28
O 0.2552 0.0000 0.4588  2 Ti 1.92
O 0.2799 0.3179 0.8647  2 Ti 1.85-1.97
O 0.2830 0.0000 0.9542  2 Ti 1.90
O 0.2999 0.2459 0.6621  1 Ti 1.96
O 0.3086 0.2124 0.1652  1 Ti 1.89
O 0.3226 0.5000 0.5018  2 Ti 1.97
O 0.4321 0.5000 0.7986  1 Ti 1.96
O 0.4395 0.2019 0.5408  1 Ti 1.91
O 0.4488 0.5000 0.3170  4 Dy 2.14-2.24
O 0.4548 0.0000 0.8129  4 Dy 2.13-2.27
O 0.4608 0.0000 0.3445  1 Ti 1.93
O 0.4659 0.2216 0.0682  3 Dy 2.22-2.30


[2]
# Th2TeAs

Th2TeAs after structural relaxation (PBE, the Alexandria database).

a = 4.1691 Å, b = 4.1691 Å, c = 23.5133 Å
α = 90.00°, β = 90.00°, γ = 120.00°
Closest atoms and distances in Å follow each position.
Space group R3m (No. 160, hexagonal axes)
One atom of each set of equivalent atoms:
Th 0.0000 0.0000 0.0000  3 As 2.96, 3 Te 3.27
Th 0.0000 0.0000 0.1869  3 As 2.96, 3 Te 3.25
Te 0.0000 0.0000 0.7610  6 Th 3.25-3.27
As 0.0000 0.0000 0.5934  6 Th 2.96


[3]
# Sr3GaAs

Sr3GaAs after structural relaxation (PBE, the Alexandria database).

a = 5.9524 Å, b = 5.9524 Å, c = 5.9524 Å
α = 90.00°, β = 90.00°, γ = 90.00°
Closest atoms and distances in Å follow each position.
Space group Pm-3m (No. 221)
One atom of each set of equivalent atoms:
Sr 0.0000 0.0000 0.5000  2 As 2.98
Ga 0.5000 0.5000 0.5000  12 Sr 4.21
As 0.0000 0.0000 0.0000  6 Sr 2.98


[4]
# Cr2InBr

Cr2InBr after structural relaxation (PBE, the Alexandria database).

a = 7.5277 Å, b = 7.5277 Å, c = 6.5480 Å
α = 90.00°, β = 90.00°, γ = 90.00°
Closest atoms and distances in Å follow each position.
Space group I-42d (No. 122)
One atom of each set of equivalent atoms:
Cr 0.2328 0.7500 0.1250  2 Br 2.70, 2 In 2.87
In 0.0000 0.0000 0.5000  4 Cr 2.87
Br 0.0000 0.0000 0.0000  4 Cr 2.70


[5]
# CsSrBr3

CsSrBr3 after structural relaxation (PBE, the Alexandria database).

a = 18.2832 Å, b = 4.9521 Å, c = 10.6428 Å
α = 90.00°, β = 121.88°, γ = 90.00°
Closest atoms and distances in Å follow each position.
Space group C2/m (No. 12)
One atom of each set of equivalent atoms:
Cs 0.1146 0.0000 0.4694  6 Br 3.48-3.82
Sr 0.1508 0.5000 0.0497  7 Br 3.08-3.23
Br 0.0404 0.5000 0.1996  2 Sr 3.08-3.16
Br 0.1502 0.0000 0.8568  3 Sr 3.21-3.23
Br 0.2290 0.0000 0.2754  2 Sr 3.21


[6]
# Sr2LiIn12

Sr2LiIn12 after structural relaxation (PBE, the Alexandria database).

a = 6.9282 Å, b = 6.9282 Å, c = 17.6107 Å
α = 90.00°, β = 90.00°, γ = 90.00°
Closest atoms and distances in Å follow each position.
Space group P4/nbm (No. 125, origin choice 2)
One atom of each set of equivalent atoms:
Sr 0.2500 0.7500 0.2460  14 In 3.63-3.86
Li 0.2500 0.7500 0.0000  8 In 2.87
In 0.0001 0.9999 0.0847  2 Li 2.87, 3 In 2.98-2.99
In 0.0833 0.5833 0.4302  4 In 2.95-3.27
In 0.2500 0.2500 0.1824  5 In 2.83-2.99
In 0.2500 0.2500 0.3431  5 In 2.83-3.00


Total moment across the listed records, respectively: 0.00 0.00 0.78 9.03 0.00 0.00 μB/f.u..
Energy across the listed records, respectively: -8.6149 -6.8776 -2.9894 -5.2976 -3.4862 -2.7439 eV/atom.